Compound: Ca3Fe2Mo2O12
Source: Alexandria
Functional: GGA+U
Structure: optimized geometry

POSCAR file:
```
Ca3Fe2Mo2O12
1.0
5.419 0.002 0.000
0.026 5.531 0.002
0.016 0.006 7.755
Mo Ca Fe O
2 3 2 12
direct
0.503 0.010 0.990
0.993 0.498 0.511
0.991 0.953 0.753
0.007 0.045 0.251
0.486 0.553 0.252
0.495 0.013 0.499
0.998 0.503 0.003
0.722 0.709 0.533
0.797 0.198 0.966
0.281 0.293 0.445
0.213 0.797 0.040
0.205 0.783 0.458
0.295 0.281 0.054
0.813 0.198 0.534
0.710 0.728 0.963
0.069 0.513 0.744
0.418 0.023 0.756
0.577 0.979 0.246
0.912 0.481 0.254
```

For the calculated total energy, the calculation gives -130.41 eV for the cell shown.